## AlHg4Au (GGA-PBE)

Data for a geometry-optimized AlHg4Au structure.

The structure in POSCAR format:
```
AlHg4Au
1.0
0.000 4.196 4.196
4.196 0.000 4.196
4.196 4.196 0.000
Hg Al Au
4 1 1
direct
0.375 0.375 0.875
0.875 0.375 0.375
0.375 0.875 0.375
0.375 0.375 0.375
0.750 0.750 0.750
0.000 0.000 0.000
```

Values from the calculation:
* crystal system: cubic
* space group: F-43m, No. 216
* ΔH_f (0 K): 362 meV per atom

---

## AcTbDySe3 (GGA-PBE)

Data for a geometry-optimized AcTbDySe3 structure.

The structure in POSCAR format:
```
AcTbDySe3
1.0
-1.326 2.230 -3.272
5.081 -4.159 -4.893
-8.909 -5.514 -0.148
Dy Se Tb Ac
2 6 2 2
direct
0.750 0.337 0.906
0.250 0.663 0.094
0.750 0.202 0.445
0.250 0.798 0.555
0.250 0.517 0.808
0.750 0.901 0.109
0.750 0.483 0.192
0.250 0.099 0.891
0.250 0.168 0.625
0.750 0.832 0.375
0.250 0.188 0.212
0.750 0.812 0.788
```

Values from the calculation:
* crystal system: monoclinic
* space group: P2_1/m, No. 11
* E: -67.48 eV/cell

---

## BSbBr2 (GGA-PBE)

Data for a geometry-optimized BSbBr2 structure.

The structure in POSCAR format:
```
BSbBr2
1.0
-1.399 -7.088 5.642
-1.840 -8.644 2.433
1.462 -8.220 3.784
Br Sb B
2 1 1
direct
0.106 0.106 0.106
0.894 0.894 0.894
0.000 0.000 0.000
0.500 0.500 0.500
```

Values from the calculation:
* crystal system: trigonal
* space group: R-3m, No. 166
* E: -11.11 eV/cell